No. 1
Density functional theory data (PBE-GGA) for Ba2ReHg after structural relaxation.

Lattice parameters (Å, degrees): 3.8225 3.8225 30.9773 90.00 90.00 120.00
Space group R-3m (No. 166, hexagonal axes)
Asymmetric unit:
Ba (0.0000, 0.0000, 0.2390) [6 per cell]
Re (0.0000, 0.0000, 0.5000) [3 per cell]
Hg (0.0000, 0.0000, 0.0000) [3 per cell]

energy: -3.312 eV/atom
V: 392.0 Å³ per cell
energy of formation: 0.837 eV per atom
N(E_F): 5.8 states/eV per cell



No. 2
Density functional theory data (PBE-GGA) for NaTa3Ag after structural relaxation.

Lattice parameters (Å, degrees): 5.001 5.001 5.001 90.00 90.00 90.00
Space group Pm-3m (No. 221)
Asymmetric unit:
Na (0.000, 0.000, 0.000) [1 per cell]
Ta (0.000, 0.500, 0.500) [3 per cell]
Ag (0.500, 0.500, 0.500) [1 per cell]

energy: -5.848 eV/atom
V: 125.0 Å³ per cell
energy of formation: 2.097 eV per atom
E above lowest polymorph: 0.000 eV/atom
N(E_F): 9.4 states/eV per cell



No. 3
Density functional theory data (PBE-GGA) for KPuF2 after structural relaxation.

Lattice parameters (Å, degrees): 3.123 3.123 7.310 90.00 90.00 90.00
Space group P4/mmm (No. 123)
Asymmetric unit:
K (0.000, 0.000, 0.000) [1 per cell]
Pu (0.000, 0.000, 0.500) [1 per cell]
F (0.500, 0.500, 0.223) [2 per cell]

energy: -6.854 eV/atom
V: 71.3 Å³ per cell
uncorrected formation energy: -2061 meV per atom
E above lowest polymorph: 0.074 eV/atom
N(E_F): 4.9 states/eV per cell



No. 4
Density functional theory data (PBE-GGA) for Sm4ZnTc after structural relaxation.

Lattice parameters (Å, degrees): 8.498 12.802 6.397 90.00 105.72 90.00
Space group C2/c (No. 15)
Asymmetric unit:
Sm (0.107, 0.172, 0.038) [8 per cell]
Sm (0.208, 0.421, 0.410) [8 per cell]
Zn (0.000, 0.373, 0.750) [4 per cell]
Tc (0.000, 0.001, 0.250) [4 per cell]

energy: -5.205 eV/atom
V: 669.9 Å³ per cell
energy of formation: -0.119 eV per atom
N(E_F): 23.2 states/eV per cell